# 1
First-principles (PBE) data for GdY2Tl after structural relaxation, as listed in Alexandria.

Computed properties:
M_tot ... 22.08 μB per cell
Polymorph energy (0 for the lowest one) ... 0.379 eV/f.u.
Formation energy from the elements ... -0.116 eV/atom
D(E_F) ... 16.3 states/eV per cell
Energy ... -7.459 eV per atom

Unit cell a=3.5915 b=3.5915 c=33.0599 alpha=90.00 beta=90.00 gamma=120.00
Space group R-3m (No. 166, hexagonal axes)
Asymmetric unit:
Gd1 0.0000 0.0000 0.0000 (multiplicity 3)
Y1 0.0000 0.0000 0.2452 (multiplicity 6)
Tl1 0.0000 0.0000 0.5000 (multiplicity 3)

***

# 2
First-principles (PBE) data for GdYTl after structural relaxation, as listed in Alexandria.

Computed properties:
M_tot ... 16.82 μB per cell
Polymorph energy (0 for the lowest one) ... 0.000 eV/f.u.
Formation energy from the elements ... -0.259 eV/atom
D(E_F) ... 7.1 states/eV per cell
Energy ... -7.896 eV per atom

Unit cell a=3.795 b=3.795 c=12.376 alpha=90.00 beta=90.00 gamma=90.00
Space group I4mm (No. 107)
Asymmetric unit:
Gd1 0.000 0.000 0.000 (multiplicity 2)
Y1 0.000 0.000 0.312 (multiplicity 2)
Tl1 0.000 0.000 0.659 (multiplicity 2)

***

# 3
First-principles (PBE) data for GdYTlZn after structural relaxation, as listed in Alexandria.

Computed properties:
M_tot ... 31.52 μB per cell
Formation energy from the elements ... -0.360 eV/atom
D(E_F) ... 14.6 states/eV per cell
Energy ... -6.406 eV per atom

Unit cell a=7.424 b=7.424 c=7.424 alpha=90.00 beta=90.00 gamma=90.00
Space group F-43m (No. 216)
Asymmetric unit:
Gd1 0.000 0.000 0.000 (multiplicity 4)
Y1 0.000 0.000 0.500 (multiplicity 4)
Tl1 0.250 0.250 0.250 (multiplicity 4)
Zn1 0.250 0.250 0.750 (multiplicity 4)

***

# 4
First-principles (PBE) data for GdTlZn after structural relaxation, as listed in Alexandria.

Computed properties:
M_tot ... 14.61 μB per cell
Formation energy from the elements ... -0.323 eV/atom
D(E_F) ... 4.2 states/eV per cell
Energy ... -6.230 eV per atom

Unit cell a=4.7552 b=4.7552 c=7.2735 alpha=90.00 beta=90.00 gamma=120.00
Space group P6_3/mmc (No. 194)
Asymmetric unit:
Gd1 0.0000 0.0000 0.0000 (multiplicity 2)
Tl1 0.3333 0.6667 0.2500 (multiplicity 2)
Zn1 0.3333 0.6667 0.7500 (multiplicity 2)

***

# 5
First-principles (PBE) data for GdTlZn2 after structural relaxation, as listed in Alexandria.

Computed properties:
M_tot ... 27.41 μB per cell
Polymorph energy (0 for the lowest one) ... 0.082 eV/f.u.
Formation energy from the elements ... -0.180 eV/atom
D(E_F) ... 7.2 states/eV per cell
Energy ... -4.929 eV per atom

Unit cell a=7.020 b=7.020 c=7.020 alpha=90.00 beta=90.00 gamma=90.00
Space group Fm-3m (No. 225)
Asymmetric unit:
Gd1 0.000 0.000 0.000 (multiplicity 4)
Tl1 0.000 0.000 0.500 (multiplicity 4)
Zn1 0.250 0.250 0.250 (multiplicity 8)

***

# 6
First-principles (PBE) data for GdTlZn after structural relaxation, as listed in Alexandria.

Computed properties:
M_tot ... 7.39 μB per cell
Formation energy from the elements ... -0.309 eV/atom
D(E_F) ... 2.6 states/eV per cell
Energy ... -6.216 eV per atom

Unit cell a=4.7560 b=4.7560 c=3.6495 alpha=90.00 beta=90.00 gamma=120.00
Space group P-6m2 (No. 187)
Asymmetric unit:
Gd1 0.0000 0.0000 0.0000 (multiplicity 1)
Tl1 0.3333 0.6667 0.5000 (multiplicity 1)
Zn1 0.6667 0.3333 0.5000 (multiplicity 1)

***

# 7
First-principles (PBE) data for GdTlZn2 after structural relaxation, as listed in Alexandria.

Computed properties:
M_tot ... 7.44 μB per cell
Polymorph energy (0 for the lowest one) ... 0.000 eV/f.u.
Formation energy from the elements ... -0.201 eV/atom
D(E_F) ... 2.3 states/eV per cell
Energy ... -4.949 eV per atom

Unit cell a=4.602 b=4.602 c=4.191 alpha=90.00 beta=90.00 gamma=90.00
Space group P4/mmm (No. 123)
Asymmetric unit:
Gd1 0.000 0.000 0.000 (multiplicity 1)
Tl1 0.500 0.500 0.000 (multiplicity 1)
Zn1 0.000 0.500 0.500 (multiplicity 2)

***

# 8
First-principles (PBE) data for Gd2TlZn after structural relaxation, as listed in Alexandria.

Computed properties:
M_tot ... 14.85 μB per cell
Formation energy from the elements ... -0.376 eV/atom
D(E_F) ... 2.9 states/eV per cell
Energy ... -8.327 eV per atom

Unit cell a=3.688 b=3.688 c=7.580 alpha=90.00 beta=90.00 gamma=90.00
Space group P4/mmm (No. 123)
Asymmetric unit:
Gd1 0.000 0.000 0.231 (multiplicity 2)
Tl1 0.500 0.500 0.500 (multiplicity 1)
Zn1 0.500 0.500 0.000 (multiplicity 1)

***

# 9
First-principles (PBE) data for GdTlZn after structural relaxation, as listed in Alexandria.

Computed properties:
M_tot ... 15.21 μB per cell
Formation energy from the elements ... -0.206 eV/atom
D(E_F) ... 3.2 states/eV per cell
Energy ... -6.113 eV per atom

Unit cell a=3.516 b=3.516 c=11.733 alpha=90.00 beta=90.00 gamma=90.00
Space group I4mm (No. 107)
Asymmetric unit:
Gd1 0.000 0.000 0.000 (multiplicity 2)
Tl1 0.000 0.000 0.697 (multiplicity 2)
Zn1 0.000 0.000 0.343 (multiplicity 2)

***

# 10
First-principles (PBE) data for GdTlZn4 after structural relaxation, as listed in Alexandria.

Computed properties:
M_tot ... 30.59 μB per cell
Formation energy from the elements ... -0.120 eV/atom
D(E_F) ... 13.0 states/eV per cell
Energy ... -3.710 eV per atom

Unit cell a=7.821 b=7.821 c=7.821 alpha=90.00 beta=90.00 gamma=90.00
Space group F-43m (No. 216)
Asymmetric unit:
Gd1 0.000 0.000 0.000 (multiplicity 4)
Tl1 0.250 0.250 0.750 (multiplicity 4)
Zn1 0.126 0.126 0.374 (multiplicity 16)

***

# 11
First-principles (PBE) data for GdTlZn after structural relaxation, as listed in Alexandria.

Computed properties:
M_tot ... 28.35 μB per cell
Formation energy from the elements ... -0.275 eV/atom
D(E_F) ... 7.0 states/eV per cell
Energy ... -6.182 eV per atom

Unit cell a=6.717 b=6.717 c=6.717 alpha=90.00 beta=90.00 gamma=90.00
Space group F-43m (No. 216)
Asymmetric unit:
Gd1 0.000 0.000 0.000 (multiplicity 4)
Tl1 0.000 0.000 0.500 (multiplicity 4)
Zn1 0.250 0.250 0.250 (multiplicity 4)

***

# 12
First-principles (PBE) data for GdTl2Zn after structural relaxation, as listed in Alexandria.

Computed properties:
M_tot ... 7.74 μB per cell
Formation energy from the elements ... -0.097 eV/atom
D(E_F) ... 3.6 states/eV per cell
Energy ... -5.118 eV per atom

Unit cell a=3.667 b=3.667 c=7.419 alpha=90.00 beta=90.00 gamma=90.00
Space group P4/mmm (No. 123)
Asymmetric unit:
Gd1 0.000 0.000 0.000 (multiplicity 1)
Tl1 0.500 0.500 0.281 (multiplicity 2)
Zn1 0.000 0.000 0.500 (multiplicity 1)

***

# 13
First-principles (PBE) data for GdTl2Zn after structural relaxation, as listed in Alexandria.

Computed properties:
M_tot ... 7.12 μB per cell
Formation energy from the elements ... -0.207 eV/atom
D(E_F) ... 2.6 states/eV per cell
Energy ... -5.229 eV per atom

Unit cell a=4.652 b=4.652 c=4.578 alpha=90.00 beta=90.00 gamma=90.00
Space group P4/mmm (No. 123)
Asymmetric unit:
Gd1 0.000 0.000 0.000 (multiplicity 1)
Tl1 0.000 0.500 0.500 (multiplicity 2)
Zn1 0.500 0.500 0.000 (multiplicity 1)

***

# 14
First-principles (PBE) data for Gd2TlZn after structural relaxation, as listed in Alexandria.

Computed properties:
M_tot ... 44.95 μB per cell
Formation energy from the elements ... -0.200 eV/atom
D(E_F) ... 10.3 states/eV per cell
Energy ... -8.150 eV per atom

Unit cell a=3.7436 b=3.7436 c=27.6674 alpha=90.00 beta=90.00 gamma=120.00
Space group R-3m (No. 166, hexagonal axes)
Asymmetric unit:
Gd1 0.0000 0.0000 0.2435 (multiplicity 6)
Tl1 0.0000 0.0000 0.0000 (multiplicity 3)
Zn1 0.0000 0.0000 0.5000 (multiplicity 3)

***

# 15
First-principles (PBE) data for Gd2TlZn after structural relaxation, as listed in Alexandria.

Computed properties:
M_tot ... 59.99 μB per cell
Formation energy from the elements ... -0.356 eV/atom
D(E_F) ... 2.5 states/eV per cell
Energy ... -8.307 eV per atom

Unit cell a=7.445 b=7.445 c=7.445 alpha=90.00 beta=90.00 gamma=90.00
Space group Fm-3m (No. 225)
Asymmetric unit:
Gd1 0.250 0.250 0.250 (multiplicity 8)
Tl1 0.000 0.000 0.000 (multiplicity 4)
Zn1 0.000 0.000 0.500 (multiplicity 4)